No. 1
Below is an optimized crystal structure of PrLu2In3AgPt2, with properties calculated at the GGA-PBE level.

Lattice parameters (Å, degrees): 3.7712 7.8636 7.8636 120.51 90.00 90.00
With the nearest neighbours (Å) after each atom.
Fractional positions:
Pr  0.0000  0.0000  0.0000  4 Pt 3.11, 6 In 3.16-3.42, 1 Ag 3.22
Lu  0.0000  0.4093  0.8204  4 Pt 2.99, 2 In 3.14, 1 Ag 3.22
Lu  0.0000  0.8204  0.4093  4 Pt 2.99, 2 In 3.14, 1 Ag 3.22
In  0.5000  0.1425  0.4134  2 Pt 2.80-2.94, 2 Ag 2.84
In  0.5000  0.4134  0.1425  2 Pt 2.80-2.94, 2 Ag 2.84
In  0.5000  0.6748  0.6748  2 Ag 2.78, 2 Pt 2.98
Ag  0.0000  0.4126  0.4126  6 In 2.78-2.84
Pt  0.5000  0.0804  0.7343  3 In 2.80-2.98, 4 Lu 2.99, 2 Pr 3.11
Pt  0.5000  0.7343  0.0804  3 In 2.80-2.98, 4 Lu 2.99, 2 Pr 3.11

Computed properties:
The value obtained for the calculated total energy is -4.891 eV/atom. As for the space-group type: Amm2. The magnetic moment comes out at 0.00 μB per atom.

=====

No. 2
Below is an optimized crystal structure of TbSm2Cu2B2N3, with properties calculated at the GGA-PBE level.

Lattice parameters (Å, degrees): 10.5806 10.5806 10.5806 160.64 160.64 27.51
With the nearest neighbours (Å) after each atom.
Fractional positions:
Tb  0.0000  0.0000  0.0000  6 N 2.36-2.52
Sm  0.3779  0.3779  0.0000  5 N 2.51-2.52
Sm  0.6221  0.6221  0.0000  5 N 2.51-2.52
Cu  0.2500  0.7500  0.5000  4 B 2.23
Cu  0.7500  0.2500  0.5000  4 B 2.23
B  0.1847  0.1847  0.0000  1 N 1.44
B  0.8153  0.8153  0.0000  1 N 1.44
N  0.1148  0.1148  0.0000  1 B 1.44
N  0.5000  0.5000  0.0000  2 Sm 2.51, 4 Tb 2.52
N  0.8852  0.8852  0.0000  1 B 1.44

Computed properties:
The value obtained for the calculated total energy is -6.984 eV/atom. As for the space-group type: I4/mmm. The magnetic moment comes out at 0.00 μB per atom.